Entry 1:
! AcTbCePr | Alexandria via LeMat-Bulk | GGA-PBE | relaxed; values from VASP
! E_form: 0.221 eV/atom
&SYSTEM
  ibrav = 0, nat = 4, ntyp = 4
/
ATOMIC_SPECIES
Ac 227.00 Ac.upf
Tb 158.93 Tb.upf
Ce 140.12 Ce.upf
Pr 140.91 Pr.upf
CELL_PARAMETERS angstrom
0.0000 4.1792 4.1792
4.1792 0.0000 4.1792
4.1792 4.1792 0.0000
ATOMIC_POSITIONS crystal
Ac 0.0000 0.0000 0.0000
Tb 0.2500 0.2500 0.2500
Ce 0.5000 0.5000 0.5000
Pr 0.7500 0.7500 0.7500

---

Entry 2:
! Ac4CePr3Te8 | Alexandria via LeMat-Bulk | GGA-PBE | relaxed; values from VASP
! ΔE_f (raw): -1.45 eV per atom
&SYSTEM
  ibrav = 0, nat = 16, ntyp = 4
/
ATOMIC_SPECIES
Ac 227.00 Ac.upf
Ce 140.12 Ce.upf
Pr 140.91 Pr.upf
Te 127.60 Te.upf
CELL_PARAMETERS angstrom
4.6240 2.6697 7.5771
-4.6240 2.6697 7.5771
0.0000 -5.3394 7.5771
ATOMIC_POSITIONS crystal
Ac 0.0000 0.0000 0.0000
Ac 0.0000 0.5000 0.5000
Ac 0.5000 0.0000 0.5000
Ac 0.5000 0.5000 0.0000
Ce 0.5000 0.5000 0.5000
Pr 0.0000 0.0000 0.5000
Pr 0.0000 0.5000 0.0000
Pr 0.5000 0.0000 0.0000
Te 0.2461 0.2461 0.2461
Te 0.2474 0.7448 0.7448
Te 0.2552 0.2552 0.7526
Te 0.2552 0.7526 0.2552
Te 0.7448 0.2474 0.7448
Te 0.7448 0.7448 0.2474
Te 0.7526 0.2552 0.2552
Te 0.7539 0.7539 0.7539

---

Entry 3:
! Ac2Ce3PrTe6 | Alexandria via LeMat-Bulk | GGA-PBE | relaxed; values from VASP
! ΔE_f (raw): -1.42 eV per atom
&SYSTEM
  ibrav = 0, nat = 12, ntyp = 4
/
ATOMIC_SPECIES
Ac 227.00 Ac.upf
Ce 140.12 Ce.upf
Pr 140.91 Pr.upf
Te 127.60 Te.upf
CELL_PARAMETERS angstrom
3.9399 -6.8356 0.0000
3.9399 6.8356 0.0000
-2.6361 0.0000 7.5832
ATOMIC_POSITIONS crystal
Ac 0.1657 0.8343 0.0000
Ac 0.8343 0.1657 0.0000
Ce 0.0000 0.0000 0.5000
Ce 0.3302 0.6698 0.5000
Ce 0.6698 0.3302 0.5000
Pr 0.5000 0.5000 0.0000
Te 0.0869 0.4140 0.7406
Te 0.2616 0.2616 0.2634
Te 0.4140 0.0869 0.7406
Te 0.5860 0.9131 0.2594
Te 0.7384 0.7384 0.7366
Te 0.9131 0.5860 0.2594

---

Entry 4:
! AcCe2Pr3Te6 | Alexandria via LeMat-Bulk | GGA-PBE | relaxed; values from VASP
! ΔE_f (raw): -1.42 eV per atom
&SYSTEM
  ibrav = 0, nat = 12, ntyp = 4
/
ATOMIC_SPECIES
Ac 227.00 Ac.upf
Ce 140.12 Ce.upf
Pr 140.91 Pr.upf
Te 127.60 Te.upf
CELL_PARAMETERS angstrom
3.9350 -6.8214 0.0000
3.9350 6.8214 0.0000
-2.6288 0.0000 7.4670
ATOMIC_POSITIONS crystal
Ac 0.0000 0.0000 0.0000
Ce 0.3323 0.6677 0.0000
Ce 0.6677 0.3323 0.0000
Pr 0.1588 0.8412 0.5000
Pr 0.5000 0.5000 0.5000
Pr 0.8412 0.1588 0.5000
Te 0.0851 0.4281 0.2548
Te 0.2616 0.2616 0.7535
Te 0.4281 0.0851 0.2548
Te 0.5719 0.9149 0.7452
Te 0.7384 0.7384 0.2465
Te 0.9149 0.5719 0.7452

---

| no. | size of the total moment (Bohr magnetons per cell) |
| --- | --- |
| 1 | 1.4 |
| 2 | 1.3 |
| 3 | 3.5 |
| 4 | 2.3 |